Record 1
First-principles (PBE-GGA) data for an optimized crystal structure of Ag3Br, as listed in the Alexandria database.

**Crystal system**: hexagonal
**ΔE_f (raw)**: 0.11 eV/atom
**N(E_F)**: 0.104 states/eV/atom

Lattice parameters (Å, degrees): 6.4794 6.4794 4.7582 90.00 90.00 120.00
Space group P6_3/mmc (No. 194)
One atom of each set of equivalent atoms:
Ag (0.1480, 0.2961, 0.2500) [6 per cell]
Br (0.3333, 0.6667, 0.7500) [2 per cell]

Record 2
First-principles (PBE-GGA) data for an optimized crystal structure of RbGaSn, as listed in the Alexandria database.

**Crystal system**: orthorhombic
**DFT formation energy**: -0.11 eV/atom
**N(E_F)**: 0.010 states/eV/atom

Lattice parameters (Å, degrees): 4.611 12.767 8.097 90.00 90.00 90.00
Space group Aem2 (No. 39)
One atom of each set of equivalent atoms:
Rb (0.000, 0.000, 0.000) [4 per cell]
Ga (0.258, 0.250, 0.368) [4 per cell]
Sn (0.250, 0.250, 0.703) [4 per cell]

Record 3
First-principles (PBE-GGA) data for an optimized crystal structure of La2TmSn, as listed in the Alexandria database.

**Crystal system**: tetragonal
**DFT formation energy**: -0.44 eV/atom
**N(E_F)**: 1.114 states/eV/atom

Lattice parameters (Å, degrees): 4.892 4.892 5.062 90.00 90.00 90.00
Space group P4/mmm (No. 123)
One atom of each set of equivalent atoms:
La (0.000, 0.500, 0.000) [2 per cell]
Tm (0.000, 0.000, 0.500) [1 per cell]
Sn (0.500, 0.500, 0.500) [1 per cell]

Record 4
First-principles (PBE-GGA) data for an optimized crystal structure of BaMg2Ga2Hg, as listed in the Alexandria database.

**Crystal system**: orthorhombic
**DFT formation energy**: -0.19 eV/atom
**N(E_F)**: 0.552 states/eV/atom

Lattice parameters (Å, degrees): 5.417 12.828 4.912 90.00 90.00 90.00
Space group Pnnm (No. 58)
One atom of each set of equivalent atoms:
Ba (0.000, 0.000, 0.000) [2 per cell]
Mg (0.236, 0.280, 0.000) [4 per cell]
Ga (0.230, 0.174, 0.500) [4 per cell]
Hg (0.000, 0.500, 0.000) [2 per cell]

Record 5
First-principles (PBE-GGA) data for an optimized crystal structure of LaSc2W, as listed in the Alexandria database.

**Crystal system**: orthorhombic
**DFT formation energy**: 0.39 eV/atom
**N(E_F)**: 1.424 states/eV/atom

Lattice parameters (Å, degrees): 3.703 5.063 10.130 90.00 90.00 90.00
Space group Immm (No. 71)
One atom of each set of equivalent atoms:
La (0.000, 0.000, 0.000) [2 per cell]
Sc (0.000, 0.500, 0.216) [4 per cell]
W (0.000, 0.000, 0.500) [2 per cell]

Record 6
First-principles (PBE-GGA) data for an optimized crystal structure of Be2HgBr, as listed in the Alexandria database.

**Crystal system**: tetragonal
**ΔE_f (raw)**: 0.64 eV/atom
**N(E_F)**: 0.439 states/eV/atom

Lattice parameters (Å, degrees): 3.450 3.450 13.592 90.00 90.00 90.00
Space group I-4m2 (No. 119)
One atom of each set of equivalent atoms:
Be (0.000, 0.000, 0.000) [2 per cell]
Be (0.000, 0.500, 0.250) [2 per cell]
Hg (0.000, 0.000, 0.500) [2 per cell]
Br (0.000, 0.500, 0.750) [2 per cell]

Record 7
First-principles (PBE-GGA) data for an optimized crystal structure of Na3Hf3US8, as listed in the Alexandria database.

**Crystal system**: trigonal
**ΔE_f (raw)**: -1.46 eV/atom
**N(E_F)**: 0.311 states/eV/atom

Lattice parameters (Å, degrees): 7.3790 7.3790 20.5685 90.00 90.00 120.00
Space group R-3m (No. 166, hexagonal axes)
One atom of each set of equivalent atoms:
Na (0.0000, 0.5000, 0.0000) [9 per cell]
Hf (0.0000, 0.5000, 0.5000) [9 per cell]
U (0.0000, 0.0000, 0.5000) [3 per cell]
S (0.0000, 0.0000, 0.2397) [6 per cell]
S (0.0160, 0.5080, 0.7591) [18 per cell]

Record 8
First-principles (PBE-GGA) data for an optimized crystal structure of Dy3Ho5Bi8, as listed in the Alexandria database.

**Crystal system**: trigonal
**DFT formation energy**: -0.84 eV/atom
**N(E_F)**: 0.197 states/eV/atom

Lattice parameters (Å, degrees): 8.9277 8.9277 21.8667 90.00 90.00 120.00
Space group R-3m (No. 166, hexagonal axes)
One atom of each set of equivalent atoms:
Dy (0.0000, 0.5000, 0.0000) [9 per cell]
Ho (0.0000, 0.0000, 0.0000) [3 per cell]
Ho (0.0000, 0.0000, 0.5000) [3 per cell]
Ho (0.0000, 0.5000, 0.5000) [9 per cell]
Bi (0.0000, 0.0000, 0.2496) [6 per cell]
Bi (0.9996, 0.4998, 0.2498) [18 per cell]

Record 9
First-principles (PBE-GGA) data for an optimized crystal structure of CrH3Ir, as listed in the Alexandria database.

**Raw total energy**: -25.8 eV/cell
**Crystal system**: cubic
**N(E_F)**: 1.105 states/eV/atom

Lattice parameters (Å, degrees): 3.285 3.285 3.285 90.00 90.00 90.00
Space group Pm-3m (No. 221)
One atom of each set of equivalent atoms:
Cr (0.000, 0.000, 0.000) [1 per cell]
H (0.000, 0.000, 0.500) [3 per cell]
Ir (0.500, 0.500, 0.500) [1 per cell]

Record 10
First-principles (PBE-GGA) data for an optimized crystal structure of LiPm4Th3Se8, as listed in the Alexandria database.

**Crystal system**: trigonal
**ΔE_f (raw)**: -1.68 eV/atom
**N(E_F)**: 0.520 states/eV/atom

Lattice parameters (Å, degrees): 8.3563 8.3563 20.4598 90.00 90.00 120.00
Space group R-3m (No. 166, hexagonal axes)
One atom of each set of equivalent atoms:
Li (0.0000, 0.0000, 0.0000) [3 per cell]
Pm (0.0000, 0.0000, 0.5000) [3 per cell]
Pm (0.0000, 0.5000, 0.5000) [9 per cell]
Th (0.0000, 0.5000, 0.0000) [9 per cell]
Se (0.0000, 0.0000, 0.2487) [6 per cell]
Se (0.0118, 0.5059, 0.7475) [18 per cell]

Record 11
First-principles (PBE-GGA) data for an optimized crystal structure of AlSi4Sb, as listed in the Alexandria database.

**Crystal system**: cubic
**ΔE_f (raw)**: 0.49 eV/atom
**N(E_F)**: 0.472 states/eV/atom

Lattice parameters (Å, degrees): 7.458 7.458 7.458 90.00 90.00 90.00
Space group F-43m (No. 216)
One atom of each set of equivalent atoms:
Al (0.000, 0.000, 0.000) [4 per cell]
Si (0.126, 0.126, 0.374) [16 per cell]
Sb (0.250, 0.250, 0.750) [4 per cell]

Record 12
First-principles (PBE-GGA) data for an optimized crystal structure of Ac3Tb7Nd2, as listed in the Alexandria database.

**Crystal system**: orthorhombic
**DFT formation energy**: 0.13 eV/atom
**N(E_F)**: 1.683 states/eV/atom

Lattice parameters (Å, degrees): 5.912 39.107 3.734 90.00 90.00 90.00
Space group Cmmm (No. 65)
One atom of each set of equivalent atoms:
Ac (0.000, 0.000, 0.000) [2 per cell]
Ac (0.000, 0.316, 0.500) [4 per cell]
Tb (0.000, 0.074, 0.500) [4 per cell]
Tb (0.000, 0.230, 0.000) [4 per cell]
Tb (0.000, 0.413, 0.000) [4 per cell]
Tb (0.000, 0.500, 0.500) [2 per cell]
Nd (0.000, 0.146, 0.000) [4 per cell]

Record 13
First-principles (PBE-GGA) data for an optimized crystal structure of AlGa3Rh4, as listed in the Alexandria database.

**Crystal system**: tetragonal
**DFT formation energy**: -0.79 eV/atom
**N(E_F)**: 0.425 states/eV/atom

Lattice parameters (Å, degrees): 3.026 3.026 12.135 90.00 90.00 90.00
Space group P4/mmm (No. 123)
One atom of each set of equivalent atoms:
Al (0.000, 0.000, 0.000) [1 per cell]
Ga (0.000, 0.000, 0.249) [2 per cell]
Ga (0.000, 0.000, 0.500) [1 per cell]
Rh (0.500, 0.500, 0.123) [2 per cell]
Rh (0.500, 0.500, 0.374) [2 per cell]

Record 14
First-principles (PBE-GGA) data for an optimized crystal structure of TbEr6Tm, as listed in the Alexandria database.

**Crystal system**: monoclinic
**DFT formation energy**: 0.02 eV/atom
**N(E_F)**: 1.302 states/eV/atom

Lattice parameters (Å, degrees): 11.080 4.949 9.892 90.00 116.55 90.00
Space group C2/m (No. 12)
One atom of each set of equivalent atoms:
Tb (0.000, 0.000, 0.000) [2 per cell]
Er (0.000, 0.500, 0.251) [4 per cell]
Er (0.250, 0.000, 0.376) [4 per cell]
Er (0.250, 0.000, 0.874) [4 per cell]
Tm (0.000, 0.000, 0.500) [2 per cell]

Record 15
First-principles (PBE-GGA) data for an optimized crystal structure of Tm8Ge3Te4H, as listed in the Alexandria database.

**Raw total energy**: -244.1 eV/cell
**Crystal system**: trigonal
**N(E_F)**: 0.429 states/eV/atom

Lattice parameters (Å, degrees): 8.2710 8.2710 20.8053 90.00 90.00 120.00
Space group R-3m (No. 166, hexagonal axes)
One atom of each set of equivalent atoms:
Tm (0.0000, 0.0000, 0.2394) [6 per cell]
Tm (0.0052, 0.5026, 0.7602) [18 per cell]
Ge (0.0000, 0.5000, 0.5000) [9 per cell]
Te (0.0000, 0.0000, 0.0000) [3 per cell]
Te (0.0000, 0.5000, 0.0000) [9 per cell]
H (0.0000, 0.0000, 0.5000) [3 per cell]

Record 16
First-principles (PBE-GGA) data for an optimized crystal structure of Ca2TaNbPt, as listed in the Alexandria database.

**Crystal system**: tetragonal
**DFT formation energy**: 1.45 eV/atom
**N(E_F)**: 1.213 states/eV/atom

Lattice parameters (Å, degrees): 5.345 5.345 4.829 90.00 90.00 90.00
Space group P4/mmm (No. 123)
One atom of each set of equivalent atoms:
Ca (0.000, 0.500, 0.000) [2 per cell]
Ta (0.000, 0.000, 0.500) [1 per cell]
Nb (0.500, 0.500, 0.000) [1 per cell]
Pt (0.500, 0.500, 0.500) [1 per cell]

Record 17
First-principles (PBE-GGA) data for an optimized crystal structure of NpCu2F8, as listed in the Alexandria database.

**Crystal system**: tetragonal
**ΔE_f (raw)**: -2.38 eV/atom
**N(E_F)**: 1.316 states/eV/atom

Lattice parameters (Å, degrees): 5.686 5.686 10.303 90.00 90.00 90.00
Space group I422 (No. 97)
One atom of each set of equivalent atoms:
Np (0.000, 0.000, 0.000) [2 per cell]
Cu (0.000, 0.500, 0.250) [4 per cell]
F (0.141, 0.296, 0.880) [16 per cell]